DFT (PBE-GGA) results for crystalline SrHfCuRh2 at its relaxed geometry.

ΔE_f: 0.73 eV/atom
total moment: 0.00 μB/cell
symmetry: P4/mmm, No. 123
total DFT energy (no corrections): -5.3598 eV per atom

a b c (Å): 4.7609 4.6844 4.7609
angles (deg): 90.00 90.00 90.00
Atoms (fractional coordinates):
1 Rh 0.0000 0.0000 0.5000
2 Rh 0.5000 0.0000 0.0000
3 Sr 0.0000 0.5000 0.0000
4 Cu 0.0000 0.0000 0.0000
5 Hf 0.5000 0.5000 0.5000

---

DFT (PBE-GGA) results for crystalline TaAs3S at its relaxed geometry.

total moment: 0.00 μB/cell
symmetry: Pm-3m, No. 221
total DFT energy (no corrections): -5.0077 eV per atom
formation energy from raw total energies: 978 meV/atom
E above lowest polymorph: 412.3 meV/atom

a b c (Å): 4.6455 4.6455 4.6455
angles (deg): 90.00 90.00 90.00
Atoms (fractional coordinates):
1 S 0.0000 0.0000 0.0000
2 As 0.0000 0.5000 0.0000
3 As 0.0000 0.0000 0.5000
4 As 0.5000 0.0000 0.0000
5 Ta 0.5000 0.5000 0.5000

---

DFT (PBE-GGA) results for crystalline Li2Zn2Au3 at its relaxed geometry.

ΔE_f: -0.35 eV/atom
total moment: 0.00 μB/cell
symmetry: P2_1/c, No. 14
total DFT energy (no corrections): -2.6652 eV per atom
E above lowest polymorph: 8.9 meV/atom

a b c (Å): 7.1118 7.2530 4.8273
angles (deg): 90.00 93.87 90.00
Atoms (fractional coordinates):
1 Au 0.5000 0.5000 0.0000
2 Au 0.1859 0.5134 0.6148
3 Au 0.3141 0.0134 0.3852
4 Au 0.6859 0.9866 0.6148
5 Au 0.8141 0.4866 0.3852
6 Au 0.0000 0.0000 0.0000
7 Zn 0.4992 0.3114 0.5317
8 Zn 0.5008 0.6886 0.4683
9 Zn 0.0008 0.8114 0.4683
10 Zn 0.9992 0.1886 0.5317
11 Li 0.8381 0.6586 0.9057
12 Li 0.6619 0.1586 0.0943
13 Li 0.1619 0.3414 0.0943
14 Li 0.3381 0.8414 0.9057

---

DFT (PBE-GGA) results for crystalline BaZn6Pd3 at its relaxed geometry.

ΔE_f: -0.33 eV/atom
total moment: 0.00 μB/cell
symmetry: P2_1/c, No. 14
total DFT energy (no corrections): -2.8469 eV per atom

a b c (Å): 7.1552 6.7921 7.9940
angles (deg): 109.17 90.00 90.00
Atoms (fractional coordinates):
1 Zn 0.7487 0.2343 0.7550
2 Zn 0.2513 0.7657 0.2450
3 Zn 0.4989 0.0190 0.1686
4 Zn 0.7513 0.7343 0.2550
5 Zn 0.3262 0.3758 0.0804
6 Zn 0.6738 0.6242 0.9196
7 Zn 0.5011 0.9810 0.8314
8 Zn 0.2487 0.2657 0.7450
9 Zn 0.8262 0.1242 0.4196
10 Zn 0.0011 0.5190 0.6686
11 Zn 0.9989 0.4810 0.3314
12 Zn 0.1738 0.8758 0.5804
13 Pd 0.3261 0.6682 0.9018
14 Pd 0.8261 0.8318 0.5982
15 Pd 0.6739 0.3318 0.0982
16 Pd 0.0000 0.5000 0.0000
17 Pd 0.5000 0.0000 0.5000
18 Pd 0.1739 0.1682 0.4018
19 Ba 0.5000 0.5000 0.5000
20 Ba 0.0000 0.0000 0.0000

---

DFT (PBE-GGA) results for crystalline Pr2Y6HoEr3 at its relaxed geometry.

ΔE_f: 0.02 eV/atom
total moment: 0.00 μB/cell
symmetry: C2/m, No. 12
total DFT energy (no corrections): -5.5290 eV per atom

a b c (Å): 6.1924 6.1924 11.8411
angles (deg): 94.99 94.99 119.96
Atoms (fractional coordinates):
1 Er 0.1664 0.8336 0.5000
2 Er 0.5000 0.5000 0.5000
3 Er 0.8336 0.1664 0.5000
4 Ho 0.0000 0.0000 0.0000
5 Pr 0.6666 0.3334 0.0000
6 Pr 0.3334 0.6666 0.0000
7 Y 0.4174 0.0850 0.2536
8 Y 0.2472 0.2472 0.7461
9 Y 0.7528 0.7528 0.2539
10 Y 0.0850 0.4174 0.2536
11 Y 0.9150 0.5826 0.7464
12 Y 0.5826 0.9150 0.7464

---

DFT (PBE-GGA) results for crystalline CdCu2Pt3 at its relaxed geometry.

ΔE_f: -0.20 eV/atom
total moment: 0.00 μB/cell
symmetry: P4/mmm, No. 123
total DFT energy (no corrections): -4.7334 eV per atom

a b c (Å): 2.8817 2.8817 10.8890
angles (deg): 90.00 90.00 90.00
Atoms (fractional coordinates):
1 Cu 0.5000 0.5000 0.8447
2 Cu 0.5000 0.5000 0.1553
3 Pt 0.0000 0.0000 0.6895
4 Pt 0.0000 0.0000 0.3105
5 Pt 0.0000 0.0000 0.0000
6 Cd 0.5000 0.5000 0.5000

---

DFT (PBE-GGA) results for crystalline Ce2NdYS5 at its relaxed geometry.

total moment: 4.84 μB/cell
symmetry: Cmc2_1, No. 36
total DFT energy (no corrections): -6.7419 eV per atom
formation energy from raw total energies: -1882 meV/atom

a b c (Å): 3.9865 8.6305 13.3272
angles (deg): 90.00 90.00 103.35
Each line ends with the local moment (μB).
Atoms (fractional coordinates):
1 Nd 0.4440 0.8881 0.4439  0.06
2 Nd 0.5560 0.1119 0.9439  0.06
3 Ce 0.0793 0.1587 0.6405  0.94
4 Ce 0.8654 0.7308 0.8026  1.00
5 Ce 0.9207 0.8413 0.1405  0.94
6 Ce 0.1346 0.2692 0.3026  1.00
7 S 0.2853 0.5706 0.3979  -0.01
8 S 0.9193 0.8386 0.5826  -0.01
9 S 0.5053 0.0105 0.2545  -0.02
10 S 0.7482 0.4963 0.1827  -0.02
11 S 0.4947 0.9895 0.7545  -0.02
12 S 0.7147 0.4294 0.8979  -0.01
13 S 0.3903 0.7806 0.9825  -0.02
14 S 0.2518 0.5037 0.6827  -0.02
15 S 0.6097 0.2194 0.4825  -0.02
16 S 0.0807 0.1614 0.0826  -0.01
17 Y 0.2361 0.4723 0.0367  0.03
18 Y 0.7639 0.5277 0.5367  0.03

---

DFT (PBE-GGA) results for crystalline BaCuCl at its relaxed geometry.

total moment: 0.00 μB/cell
symmetry: F-43m, No. 216
total DFT energy (no corrections): -3.2744 eV per atom
formation energy from raw total energies: -653 meV/atom
E above lowest polymorph: 221.6 meV/atom

a b c (Å): 5.1705 5.1705 5.1705
angles (deg): 60.00 60.00 60.00
Atoms (fractional coordinates):
1 Cl 0.5000 0.5000 0.5000
2 Cu 0.7500 0.7500 0.7500
3 Ba 0.0000 0.0000 0.0000

---

DFT (PBE-GGA) results for crystalline Ba2NdCd3In4 at its relaxed geometry.

ΔE_f: -0.33 eV/atom
total moment: 0.00 μB/cell
symmetry: P-4m2, No. 115
total DFT energy (no corrections): -2.5595 eV per atom

a b c (Å): 4.8948 4.8948 13.2309
angles (deg): 90.00 90.00 90.00
Atoms (fractional coordinates):
1 Cd 0.0000 0.0000 0.5000
2 Cd 0.0000 0.5000 0.1316
3 Cd 0.5000 0.0000 0.8684
4 Nd 0.5000 0.5000 0.5000
5 Ba 0.0000 0.5000 0.7660
6 Ba 0.5000 0.0000 0.2340
7 In 0.0000 0.5000 0.3490
8 In 0.5000 0.0000 0.6510
9 In 0.0000 0.0000 0.0000
10 In 0.5000 0.5000 0.0000

---

DFT (PBE-GGA) results for crystalline Cs2HfI6 at its relaxed geometry.

total moment: 0.00 μB/cell
symmetry: Fm-3m, No. 225
total DFT energy (no corrections): -3.5797 eV per atom
formation energy from raw total energies: -1251 meV/atom

a b c (Å): 8.4611 8.4611 8.4611
angles (deg): 60.00 60.00 60.00
Atoms (fractional coordinates):
1 Cs 0.7500 0.7500 0.7500
2 Cs 0.2500 0.2500 0.2500
3 Hf 0.0000 0.0000 0.0000
4 I 0.2392 0.2392 0.7608
5 I 0.7608 0.7608 0.2392
6 I 0.2392 0.7608 0.7608
7 I 0.7608 0.2392 0.7608
8 I 0.7608 0.2392 0.2392
9 I 0.2392 0.7608 0.2392

---

DFT (PBE-GGA) results for crystalline CuIr2Rh6 at its relaxed geometry.

ΔE_f: 0.20 eV/atom
total moment: 0.00 μB/cell
symmetry: Immm, No. 71
total DFT energy (no corrections): -7.1295 eV per atom
E above lowest polymorph: 170.3 meV/atom

a b c (Å): 2.6889 13.4510 7.7687
angles (deg): 149.97 99.97 90.00
Atoms (fractional coordinates):
1 Rh 0.5000 0.1437 0.0000
2 Rh 0.3263 0.5012 0.6525
3 Rh 0.5000 0.8563 0.0000
4 Rh 0.3263 0.1513 0.6525
5 Rh 0.6737 0.8487 0.3475
6 Rh 0.6737 0.4988 0.3475
7 Cu 0.0000 0.5000 0.0000
8 Ir 0.8146 0.8146 0.6293
9 Ir 0.1854 0.1854 0.3707

---

DFT (PBE-GGA) results for crystalline NpV3Se6 at its relaxed geometry.

total moment: 11.69 μB/cell
symmetry: P2_1/m, No. 11
total DFT energy (no corrections): -6.8695 eV per atom
formation energy from raw total energies: -749 meV/atom

a b c (Å): 3.8427 10.6880 10.6979
angles (deg): 109.49 90.00 90.00
Each line ends with the local moment (μB).
Atoms (fractional coordinates):
1 Se 0.2500 0.2110 0.2502  -0.13
2 Se 0.2500 0.2811 0.7319  -0.03
3 Se 0.7500 0.7189 0.2681  -0.03
4 Se 0.7500 0.9136 0.0795  -0.09
5 Se 0.2500 0.0864 0.9205  -0.09
6 Se 0.2500 0.8714 0.5311  -0.11
7 Se 0.7500 0.3899 0.0687  0.07
8 Se 0.7500 0.7890 0.7498  -0.13
9 Se 0.2500 0.5264 0.3877  -0.10
10 Se 0.2500 0.6101 0.9313  0.07
11 Se 0.7500 0.4736 0.6123  -0.10
12 Se 0.7500 0.1286 0.4689  -0.11
13 V 0.2500 0.3210 0.4991  1.86
14 V 0.7500 0.6790 0.5009  1.86
15 V 0.7500 0.1558 0.0931  2.08
16 V 0.2500 0.8442 0.9069  2.08
17 V 0.7500 0.4432 0.8577  -1.89
18 V 0.2500 0.5568 0.1423  -1.89
19 Np 0.2500 0.9513 0.2936  3.81
20 Np 0.7500 0.0487 0.7064  3.81

---

DFT (PBE-GGA) results for crystalline BaSmRu2O8 at its relaxed geometry.

total moment: 3.01 μB/cell
symmetry: P-3, No. 147
total DFT energy (no corrections): -7.0570 eV per atom
formation energy from raw total energies: -1652 meV/atom

a b c (Å): 5.9414 5.9414 7.7303
angles (deg): 90.00 90.00 120.00
Each line ends with the local moment (μB).
Atoms (fractional coordinates):
1 O 0.3303 0.1638 0.2974  0.11
2 O 0.8362 0.1665 0.2974  0.11
3 O 0.1665 0.3303 0.7026  0.11
4 O 0.8335 0.6697 0.2974  0.11
5 O 0.3333 0.6667 0.0081  0.17
6 O 0.1638 0.8335 0.7026  0.11
7 O 0.6667 0.3333 0.9919  0.17
8 O 0.6697 0.8362 0.7026  0.11
9 Ru 0.6667 0.3333 0.2223  0.82
10 Ru 0.3333 0.6667 0.7777  0.82
11 Ba 0.0000 0.0000 0.0000  0.01
12 Sm 0.0000 0.0000 0.5000  0.01

---

DFT (PBE-GGA) results for crystalline Rb3Sm3AlTe8 at its relaxed geometry.

total moment: 0.00 μB/cell
symmetry: R-3m, No. 166
total DFT energy (no corrections): -4.1658 eV per atom
formation energy from raw total energies: -1103 meV/atom

a b c (Å): 8.8555 8.8599 10.2644
angles (deg): 115.55 90.00 119.99
Atoms (fractional coordinates):
1 Te 0.7837 0.5673 0.3111
2 Te 0.7558 0.9725 0.6891
3 Te 0.2442 0.0275 0.3109
4 Te 0.7834 0.0276 0.3109
5 Te 0.2166 0.9724 0.6891
6 Te 0.2163 0.4327 0.6889
7 Te 0.2648 0.5296 0.2946
8 Te 0.7352 0.4704 0.7054
9 Rb 0.0000 0.0000 0.0000
10 Rb 0.0000 0.5000 0.0000
11 Rb 0.5000 0.5000 0.0000
12 Sm 0.0000 0.5000 0.5000
13 Sm 0.5000 0.5000 0.5000
14 Sm 0.5000 0.0000 0.5000
15 Al 0.0000 0.0000 0.5000

---

DFT (PBE-GGA) results for crystalline YCo2Re at its relaxed geometry.

ΔE_f: 0.33 eV/atom
total moment: 2.32 μB/cell
symmetry: Imm2, No. 44
total DFT energy (no corrections): -7.9538 eV per atom
E above lowest polymorph: 359.3 meV/atom

a b c (Å): 5.4666 5.4666 5.4666
angles (deg): 149.85 131.23 58.41
Each line ends with the local moment (μB).
Atoms (fractional coordinates):
1 Re 0.5290 0.5290 0.0000  0.20
2 Y 0.2455 0.7455 0.5000  -0.06
3 Co 0.9697 0.9697 0.0000  1.25
4 Co 0.7559 0.2559 0.5000  0.95

---

DFT (PBE-GGA) results for crystalline YTaSb2 at its relaxed geometry.

total moment: 0.00 μB/cell
symmetry: P4mm, No. 99
total DFT energy (no corrections): -6.6465 eV per atom
formation energy from raw total energies: -6 meV/atom
E above lowest polymorph: 311.5 meV/atom

a b c (Å): 3.1444 3.1444 10.9201
angles (deg): 90.00 90.00 90.00
Atoms (fractional coordinates):
1 Sb 0.5000 0.5000 0.3116
2 Sb 0.0000 0.0000 0.9532
3 Y 0.5000 0.5000 0.7268
4 Ta 0.0000 0.0000 0.5084

---

DFT (PBE-GGA) results for crystalline Y2Mg at its relaxed geometry.

ΔE_f: 0.02 eV/atom
total moment: 0.71 μB/cell
symmetry: P-3m1, No. 164
total DFT energy (no corrections): -4.8223 eV per atom

a b c (Å): 3.5594 3.5594 8.2795
angles (deg): 90.00 90.00 120.00
Each line ends with the local moment (μB).
Atoms (fractional coordinates):
1 Mg 0.0000 0.0000 0.0000  0.00
2 Y 0.3333 0.6667 0.3251  0.17
3 Y 0.6667 0.3333 0.6749  0.17

---

DFT (PBE-GGA) results for crystalline CaLaPm2Pr4 at its relaxed geometry.

ΔE_f: 0.34 eV/atom
total moment: 0.01 μB/cell
symmetry: C2/c, No. 15
total DFT energy (no corrections): -4.1038 eV per atom

a b c (Å): 9.8364 9.8364 12.2253
angles (deg): 128.43 128.43 88.43
Atoms (fractional coordinates):
1 Pr 0.2445 0.2442 0.5049
2 Pr 0.2516 0.7510 0.0010
3 Pr 0.2558 0.2555 0.9951
4 Pr 0.7490 0.2484 0.4990
5 Pr 0.7442 0.7445 0.0049
6 Pr 0.2510 0.7516 0.5010
7 Pr 0.7484 0.2490 0.9990
8 Pr 0.7555 0.7558 0.4951
9 Pm 0.5000 0.0000 0.5000
10 Pm 0.5000 0.0000 0.0000
11 Pm 0.0000 0.0000 0.5000
12 Pm 0.5000 0.5000 0.0000
13 La 0.0000 0.5000 0.5000
14 La 0.0000 0.5000 0.0000
15 Ca 0.5000 0.5000 0.5000
16 Ca 0.0000 0.0000 0.0000

---

DFT (PBE-GGA) results for crystalline Pm11Dy4Y9 at its relaxed geometry.

ΔE_f: 0.05 eV/atom
total moment: 0.00 μB/cell
symmetry: Cmmm, No. 65
total DFT energy (no corrections): -5.3210 eV per atom

a b c (Å): 3.6744 15.4082 15.4082
angles (deg): 113.07 90.00 90.00
Atoms (fractional coordinates):
1 Dy 0.5000 0.2423 0.4451
2 Dy 0.5000 0.7577 0.5549
3 Dy 0.5000 0.5549 0.7577
4 Dy 0.5000 0.4451 0.2423
5 Pm 0.0000 0.0447 0.4068
6 Pm 0.0000 0.1601 0.8399
7 Pm 0.0000 0.9553 0.5932
8 Pm 0.0000 0.7071 0.7071
9 Pm 0.0000 0.8399 0.1601
10 Pm 0.0000 0.3683 0.6317
11 Pm 0.0000 0.5932 0.9553
12 Pm 0.0000 0.2929 0.2929
13 Pm 0.0000 0.4068 0.0447
14 Pm 0.0000 0.0000 0.0000
15 Pm 0.0000 0.6317 0.3683
16 Y 0.5000 0.8354 0.3691
17 Y 0.5000 0.2140 0.0680
18 Y 0.5000 0.3691 0.8354
19 Y 0.5000 0.6309 0.1646
20 Y 0.5000 0.0680 0.2140
21 Y 0.5000 0.7860 0.9320
22 Y 0.5000 0.1646 0.6309
23 Y 0.5000 0.5000 0.5000
24 Y 0.5000 0.9320 0.7860

---

DFT (PBE-GGA) results for crystalline SrSiPt2 at its relaxed geometry.

total moment: 0.00 μB/cell
symmetry: C2/c, No. 15
total DFT energy (no corrections): -5.6431 eV per atom
formation energy from raw total energies: -847 meV/atom

a b c (Å): 5.7838 5.8561 6.2456
angles (deg): 104.62 104.12 117.87
Atoms (fractional coordinates):
1 Si 0.2399 0.9899 0.4798
2 Si 0.7601 0.0101 0.5202
3 Pt 0.4877 0.0804 0.2219
4 Pt 0.7342 0.6415 0.2219
5 Pt 0.5123 0.9196 0.7781
6 Pt 0.2658 0.3585 0.7781
7 Sr 0.8790 0.6290 0.7579
8 Sr 0.1210 0.3710 0.2421